[1]
Here is K5Rb2In4 after structural relaxation from Alexandria via LeMat-Bulk. Energies are from PBE.

Results
Energy of formation   0.020 eV/atom
Crystal system   monoclinic
Space-group type   C2/m (12)

Cell and atoms, written as CIF:
```
data_K5Rb2In4
_symmetry_space_group_name_H-M 'P 1'
_symmetry_Int_Tables_number 1
_cell_length_a 9.4423
_cell_length_b 9.4423
_cell_length_c 10.4882
_cell_angle_alpha 116.32
_cell_angle_beta 116.32
_cell_angle_gamma 50.86
loop_
_symmetry_equiv_pos_as_xyz
'x,y,z'
loop_
_atom_site_label
_atom_site_type_symbol
_atom_site_fract_x
_atom_site_fract_y
_atom_site_fract_z
K1 K 0.0000 0.0000 0.0000
K2 K 0.1402 0.6394 0.5997
K3 K 0.3606 0.8598 0.4003
K4 K 0.6394 0.1402 0.5997
K5 K 0.8598 0.3606 0.4003
Rb1 Rb 0.2608 0.2608 0.8987
Rb2 Rb 0.7392 0.7392 0.1013
In1 In 0.2334 0.2334 0.2583
In2 In 0.4185 0.4185 0.3420
In3 In 0.5815 0.5815 0.6580
In4 In 0.7666 0.7666 0.7417
```

---

[2]
Here is K3RbIn8 after structural relaxation from Alexandria via LeMat-Bulk. Energies are from PBE.

Results
Energy of formation   -0.132 eV/atom
Crystal system   trigonal
Space-group type   P3m1 (156)

Cell and atoms, written as CIF:
```
data_K3RbIn8
_symmetry_space_group_name_H-M 'P 1'
_symmetry_Int_Tables_number 1
_cell_length_a 6.5928
_cell_length_b 6.5928
_cell_length_c 10.3196
_cell_angle_alpha 90.00
_cell_angle_beta 90.00
_cell_angle_gamma 120.00
loop_
_symmetry_equiv_pos_as_xyz
'x,y,z'
loop_
_atom_site_label
_atom_site_type_symbol
_atom_site_fract_x
_atom_site_fract_y
_atom_site_fract_z
K1 K 0.0000 0.0000 0.0000
K2 K 0.0000 0.0000 0.3727
K3 K 0.3333 0.6667 0.8733
Rb1 Rb 0.3333 0.6667 0.4981
In1 In 0.0016 0.5008 0.1836
In2 In 0.3290 0.1645 0.6884
In3 In 0.4992 0.5008 0.1836
In4 In 0.4992 0.9984 0.1836
In5 In 0.6667 0.3333 0.4368
In6 In 0.6667 0.3333 0.9351
In7 In 0.8355 0.1645 0.6884
In8 In 0.8355 0.6710 0.6884
```

---

[3]
Here is KRbIn2Re after structural relaxation from Alexandria via LeMat-Bulk. Energies are from PBE.

Results
Energy of formation   1.970 eV/atom
Crystal system   tetragonal
Space-group type   P4/mmm (123)

Cell and atoms, written as CIF:
```
data_KRbIn2Re
_symmetry_space_group_name_H-M 'P 1'
_symmetry_Int_Tables_number 1
_cell_length_a 6.2592
_cell_length_b 6.2592
_cell_length_c 6.0929
_cell_angle_alpha 90.00
_cell_angle_beta 90.00
_cell_angle_gamma 90.00
loop_
_symmetry_equiv_pos_as_xyz
'x,y,z'
loop_
_atom_site_label
_atom_site_type_symbol
_atom_site_fract_x
_atom_site_fract_y
_atom_site_fract_z
K1 K 0.0000 0.0000 0.0000
Rb1 Rb 0.0000 0.0000 0.5000
In1 In 0.0000 0.5000 0.5000
In2 In 0.5000 0.0000 0.5000
Re1 Re 0.5000 0.5000 0.0000
```